# Sr2LiRu

An optimized crystal structure of Sr2LiRu (PBE-GGA, the Alexandria database).

## Properties
Energy of formation from the pure elements   0.316 eV/atom
Symmetry   Amm2
Mass density   4.1 Mg/m³
Crystal system   orthorhombic
Total DFT energy (no corrections)   -26.6 eV per cell

Cell: 4.5815 4.2185 11.8209 Å, 90.00 90.00 90.00°
Closest atoms and distances in Å follow each position.
Sites, in units of the cell vectors:
Sr1 0.0000 0.0000 0.0000  2 Ru 3.13, 4 Li 3.30
Sr2 0.0000 0.5000 0.5000  2 Ru 3.13, 4 Li 3.30
Sr3 0.5000 0.0000 0.2796  2 Li 3.06, 4 Ru 3.27
Sr4 0.5000 0.5000 0.7796  2 Li 3.06, 4 Ru 3.27
Li1 0.5000 0.0000 0.5922  2 Ru 2.60
Li2 0.5000 0.5000 0.0922  2 Ru 2.60
Ru1 0.0000 0.0000 0.6958  2 Li 2.60
Ru2 0.0000 0.5000 0.1958  2 Li 2.60